No. 1
VASP calculation (GGA-PBE) on AcY6Er after structural relaxation.

ΔH_f (0 K)   0.15 eV per atom
Relative energy among the computed polymorphs   0.000 eV/atom
Density of states at the Fermi level   1.84 states/eV per atom

Cell lengths 8.7243, 9.7653, 6.5476 Å; angles 41.80, 48.23, 55.98 degrees
Fractional coordinates of all 8 atoms:
Y 0.5421 0.0428 0.6596
Y 0.4579 0.9572 0.3404
Er 0.0000 0.0000 0.0000
Y 0.0429 0.2444 0.1706
Y 0.2443 0.4576 0.2549
Ac 0.5000 0.5000 0.5000
Y 0.9571 0.7556 0.8294
Y 0.7557 0.5424 0.7451



No. 2
VASP calculation (GGA-PBE) on AcY3Er6 after structural relaxation.

ΔH_f (0 K)   0.34 eV per atom
Density of states at the Fermi level   2.09 states/eV per atom

Cell lengths 9.8339, 9.8339, 6.9432 Å; angles 44.91, 44.91, 60.00 degrees
Fractional coordinates of all 10 atoms:
Y 0.6383 0.6383 0.0850
Er 0.5544 0.2459 0.2993
Er 0.0649 0.4002 0.7995
Ac 0.8999 0.8999 0.3003
Er 0.7354 0.0649 0.7995
Y 0.1609 0.1609 0.5174
Er 0.9004 0.5544 0.2993
Y 0.3997 0.3997 0.8009
Er 0.2459 0.9004 0.2993
Er 0.4002 0.7354 0.7995



No. 3
VASP calculation (GGA-PBE) on Ac2Y5Er2 after structural relaxation.

ΔH_f (0 K)   0.04 eV per atom
Density of states at the Fermi level   1.25 states/eV per atom

Cell lengths 3.7139, 11.6766, 9.6605 Å; angles 49.10, 78.93, 80.86 degrees
Fractional coordinates of all 9 atoms:
Y 0.0000 0.0000 0.0000
Y 0.2590 0.6727 0.8091
Y 0.0792 0.3202 0.5195
Y 0.7410 0.3273 0.1910
Er 0.3324 0.9986 0.3385
Er 0.6676 0.0014 0.6615
Y 0.9208 0.6798 0.4805
Ac 0.4085 0.3349 0.8483
Ac 0.5915 0.6651 0.1517



No. 4
VASP calculation (GGA-PBE) on AcY2Er7 after structural relaxation.

ΔH_f (0 K)   0.06 eV per atom
Density of states at the Fermi level   1.69 states/eV per atom

Cell lengths 5.4474, 8.9343, 9.5004 Å; angles 118.06, 106.66, 52.39 degrees
Fractional coordinates of all 10 atoms:
Er 0.2450 0.1436 0.7772
Er 0.7550 0.8564 0.2228
Y 0.4994 0.2998 0.5994
Er 0.5000 0.5000 0.0000
Er 0.0004 0.7969 0.5935
Y 0.5006 0.7002 0.4006
Er 0.9996 0.2031 0.4065
Ac 0.0000 0.0000 0.0000
Er 0.7547 0.6339 0.7771
Er 0.2453 0.3661 0.2229



No. 5
VASP calculation (GGA-PBE) on AcY4Er6 after structural relaxation.

ΔH_f (0 K)   0.14 eV per atom
Relative energy among the computed polymorphs   0.000 eV/atom
Density of states at the Fermi level   1.75 states/eV per atom

Cell lengths 5.7234, 5.6921, 25.6077 Å; angles 90.00, 90.00, 120.18 degrees
Fractional coordinates of all 22 atoms:
Y 0.4936 0.9871 0.3781
Y 0.8353 0.6705 0.9588
Er 0.5066 0.0131 0.7500
Er 0.1717 0.3434 0.9004
Y 0.5064 0.0129 0.6219
Y 0.4936 0.9871 0.1219
Er 0.8393 0.6787 0.8203
Er 0.1607 0.3213 0.3203
Y 0.5064 0.0129 0.8781
Er 0.1717 0.3434 0.5996
Er 0.8393 0.6787 0.6797
Er 0.1607 0.3213 0.1797
Er 0.8283 0.6566 0.0996
Er 0.5000 0.0000 0.0000
Ac 0.1726 0.3451 0.7500
Er 0.8283 0.6566 0.4004
Er 0.4934 0.9869 0.2500
Er 0.5000 0.0000 0.5000
Ac 0.8274 0.6549 0.2500
Y 0.1647 0.3295 0.0412
Y 0.8353 0.6705 0.5412
Y 0.1647 0.3295 0.4588



No. 6
VASP calculation (GGA-PBE) on Ac2Y6Er3 after structural relaxation.

ΔH_f (0 K)   0.19 eV per atom
Density of states at the Fermi level   1.73 states/eV per atom

Cell lengths 6.2222, 6.2242, 12.0184 Å; angles 85.04, 80.04, 60.01 degrees
Fractional coordinates of all 11 atoms:
Er 0.3347 0.3305 0.0000
Y 0.9195 0.6673 0.2389
Y 0.7458 0.0000 0.7607
Y 0.2542 0.0000 0.2393
Ac 0.8332 0.3336 0.5000
Er 0.0000 0.0000 0.0000
Ac 0.1668 0.6664 0.5000
Y 0.4132 0.6673 0.7611
Er 0.6653 0.6695 0.0000
Y 0.5868 0.3327 0.2389
Y 0.0805 0.3327 0.7611



No. 7
VASP calculation (GGA-PBE) on AcYEr2 after structural relaxation.

ΔH_f (0 K)   0.12 eV per atom
Relative energy among the computed polymorphs   0.058 eV/atom
Density of states at the Fermi level   1.53 states/eV per atom

Cell lengths 5.8096, 5.8096, 5.8096 Å; angles 60.00, 60.00, 60.00 degrees
Fractional coordinates of all 4 atoms:
Er 0.7500 0.7500 0.7500
Er 0.2500 0.2500 0.2500
Y 0.5000 0.5000 0.5000
Ac 0.0000 0.0000 0.0000



No. 8
VASP calculation (GGA-PBE) on Ac2Y2Er after structural relaxation.

ΔH_f (0 K)   0.06 eV per atom
Density of states at the Fermi level   1.77 states/eV per atom

Cell lengths 6.5778, 12.8454, 10.0239 Å; angles 146.80, 109.20, 89.98 degrees
Fractional coordinates of all 10 atoms:
Ac 0.2088 0.2387 0.5865
Ac 0.3826 0.7418 0.5922
Er 0.0170 0.2587 0.2082
Ac 0.7912 0.7613 0.4135
Ac 0.6174 0.2582 0.4078
Er 0.9830 0.7413 0.7918
Y 0.8125 0.2448 0.7980
Y 0.1875 0.7552 0.2020
Y 0.5730 0.7486 0.9975
Y 0.4270 0.2514 0.0025



No. 9
VASP calculation (GGA-PBE) on AcY6Er after structural relaxation.

ΔH_f (0 K)   0.21 eV per atom
Relative energy among the computed polymorphs   0.063 eV/atom
Density of states at the Fermi level   1.81 states/eV per atom

Cell lengths 6.8335, 6.7322, 6.8784 Å; angles 92.17, 60.52, 84.89 degrees
Fractional coordinates of all 8 atoms:
Y 0.5647 0.7378 0.9601
Er 0.0000 0.5000 0.0000
Y 0.0940 0.7232 0.4581
Y 0.5748 0.7413 0.4787
Y 0.4353 0.2622 0.0399
Ac 0.0000 0.0000 0.0000
Y 0.9060 0.2768 0.5419
Y 0.4252 0.2587 0.5213



No. 10
VASP calculation (GGA-PBE) on AcY2Er2 after structural relaxation.

ΔH_f (0 K)   0.16 eV per atom
Relative energy among the computed polymorphs   0.000 eV/atom
Density of states at the Fermi level   1.41 states/eV per atom

Cell lengths 3.6394, 8.7406, 11.3176 Å; angles 90.00, 90.00, 102.02 degrees
Fractional coordinates of all 10 atoms:
Ac 0.5932 0.1864 0.0189
Er 0.7678 0.5355 0.3159
Y 0.7112 0.4224 0.5758
Er 0.9403 0.8806 0.1952
Y 0.9037 0.8075 0.8794
Y 0.0963 0.1925 0.3794
Ac 0.4068 0.8136 0.5189
Y 0.2888 0.5776 0.0758
Er 0.0597 0.1194 0.6952
Er 0.2322 0.4645 0.8159



No. 11
VASP calculation (GGA-PBE) on Ac7Y2Er after structural relaxation.

ΔH_f (0 K)   0.65 eV per atom
Density of states at the Fermi level   1.48 states/eV per atom

Cell lengths 6.0815, 9.7028, 9.7029 Å; angles 62.71, 90.00, 90.00 degrees
Fractional coordinates of all 10 atoms:
Ac 0.5000 0.5000 0.5000
Ac 0.5000 0.3047 0.9369
Y 0.5000 0.2973 0.2973
Ac 0.5000 0.0631 0.6953
Ac 0.0000 0.7633 0.7633
Er 0.0000 0.0000 0.0000
Ac 0.5000 0.6953 0.0631
Y 0.5000 0.7027 0.7027
Ac 0.5000 0.9369 0.3047
Ac 0.0000 0.2367 0.2367



No. 12
VASP calculation (GGA-PBE) on Ac2Y5Er after structural relaxation.

ΔH_f (0 K)   0.06 eV per atom
Density of states at the Fermi level   1.78 states/eV per atom

Cell lengths 5.2433, 5.2433, 10.8277 Å; angles 104.01, 104.01, 90.00 degrees
Fractional coordinates of all 8 atoms:
Y 0.1182 0.6182 0.2365
Y 0.3818 0.8818 0.7635
Y 0.6182 0.1182 0.2365
Ac 0.2501 0.2501 0.5002
Y 0.5000 0.5000 0.0000
Ac 0.7499 0.7499 0.4998
Y 0.8818 0.3818 0.7635
Er 0.0000 0.0000 0.0000



Please write out number 6 again, unchanged.
VASP calculation (GGA-PBE) on Ac2Y6Er3 after structural relaxation.

ΔH_f (0 K)   0.19 eV per atom
Density of states at the Fermi level   1.73 states/eV per atom

Cell lengths 6.2222, 6.2242, 12.0184 Å; angles 85.04, 80.04, 60.01 degrees
Fractional coordinates of all 11 atoms:
Er 0.3347 0.3305 0.0000
Y 0.9195 0.6673 0.2389
Y 0.7458 0.0000 0.7607
Y 0.2542 0.0000 0.2393
Ac 0.8332 0.3336 0.5000
Er 0.0000 0.0000 0.0000
Ac 0.1668 0.6664 0.5000
Y 0.4132 0.6673 0.7611
Er 0.6653 0.6695 0.0000
Y 0.5868 0.3327 0.2389
Y 0.0805 0.3327 0.7611



- density of states at the Fermi level of number 5 (AcY4Er6)?
  1.75 states/eV per atom



- Which formula does entry 5 have?
  AcY4Er6